(1)
LiAcInAg: relaxed, PBE.

Output
**N(E_F)**: 5.3 states/eV/cell
**Formation energy from the elements**: -0.3056 eV per atom
**E_tot**: -3.209 eV/atom
**Crystal system**: cubic

Unit cell a=7.3568 b=7.3568 c=7.3568 alpha=90.00 beta=90.00 gamma=90.00
Closest atoms and distances in Å follow each position.
Fractional positions:
Li1 0.0000 0.0000 0.0000  4 Ac 3.19, 4 In 3.19
Li2 0.0000 0.5000 0.5000  4 Ac 3.19, 4 In 3.19
Li3 0.5000 0.0000 0.5000  4 Ac 3.19, 4 In 3.19
Li4 0.5000 0.5000 0.0000  4 Ac 3.19, 4 In 3.19
Ac1 0.2500 0.2500 0.2500  4 Li 3.19, 4 Ag 3.19
Ac2 0.2500 0.7500 0.7500  4 Li 3.19, 4 Ag 3.19
Ac3 0.7500 0.2500 0.7500  4 Li 3.19, 4 Ag 3.19
Ac4 0.7500 0.7500 0.2500  4 Li 3.19, 4 Ag 3.19
In1 0.2500 0.2500 0.7500  4 Li 3.19, 4 Ag 3.19
In2 0.2500 0.7500 0.2500  4 Li 3.19, 4 Ag 3.19
In3 0.7500 0.2500 0.2500  4 Li 3.19, 4 Ag 3.19
In4 0.7500 0.7500 0.7500  4 Li 3.19, 4 Ag 3.19
Ag1 0.0000 0.0000 0.5000  4 Ac 3.19, 4 In 3.19
Ag2 0.0000 0.5000 0.0000  4 Ac 3.19, 4 In 3.19
Ag3 0.5000 0.0000 0.0000  4 Ac 3.19, 4 In 3.19
Ag4 0.5000 0.5000 0.5000  4 Ac 3.19, 4 In 3.19

---

(2)
Li3Ac2InAg4: relaxed, PBE.

Output
**N(E_F)**: 4.5 states/eV/cell
**Formation energy from the elements**: -0.2447 eV per atom
**E_tot**: -3.055 eV/atom
**Crystal system**: tetragonal

Unit cell a=4.6158 b=4.6158 c=11.0868 alpha=90.00 beta=90.00 gamma=90.00
Closest atoms and distances in Å follow each position.
Fractional positions:
Li1 0.0000 0.0000 0.0000  4 Ag 2.85
Li2 0.0000 0.5000 0.6097  5 Ag 2.61-2.66
Li3 0.5000 0.0000 0.3903  5 Ag 2.61-2.66
Ac1 0.0000 0.5000 0.2603  8 Ag 3.48-3.52, 7 Li 3.57-3.87, 2 In 3.70
Ac2 0.5000 0.0000 0.7397  8 Ag 3.48-3.52, 7 Li 3.57-3.87, 2 In 3.70
In1 0.5000 0.5000 0.0000  4 Ag 2.85
Ag1 0.0000 0.0000 0.5000  4 Li 2.61
Ag2 0.0000 0.5000 0.8492  3 Li 2.66-2.85, 2 In 2.85
Ag3 0.5000 0.0000 0.1508  3 Li 2.66-2.85, 2 In 2.85
Ag4 0.5000 0.5000 0.5000  4 Li 2.61

---

(3)
LiAcInAg2: relaxed, PBE.

Output
**N(E_F)**: 7.8 states/eV/cell
**Formation energy from the elements**: -0.2946 eV per atom
**E_tot**: -3.187 eV/atom
**Crystal system**: tetragonal

Unit cell a=4.4091 b=4.4091 c=12.7475 alpha=90.00 beta=90.00 gamma=90.00
Closest atoms and distances in Å follow each position.
Fractional positions:
Li1 0.0000 0.0000 0.0000  4 Ag 2.83, 4 In 3.12
Li2 0.5000 0.5000 0.5000  4 Ag 2.83, 4 In 3.12
Ac1 0.0000 0.5000 0.2500  8 Ag 3.42
Ac2 0.5000 0.0000 0.7500  8 Ag 3.42
In1 0.0000 0.0000 0.5000  4 Ag 2.83, 4 Li 3.12
In2 0.5000 0.5000 0.0000  4 Ag 2.83, 4 Li 3.12
Ag1 0.0000 0.5000 0.6396  1 Ag 2.82, 2 In 2.83, 2 Li 2.83
Ag2 0.0000 0.5000 0.8604  1 Ag 2.82, 2 In 2.83, 2 Li 2.83
Ag3 0.5000 0.0000 0.1396  1 Ag 2.82, 2 In 2.83, 2 Li 2.83
Ag4 0.5000 0.0000 0.3604  1 Ag 2.82, 2 In 2.83, 2 Li 2.83

---

(4)
LiAcIn2Ag4: relaxed, PBE.

Output
**N(E_F)**: 4.8 states/eV/cell
**Formation energy from the elements**: -0.2403 eV per atom
**E_tot**: -3.103 eV/atom
**Crystal system**: trigonal

Unit cell a=9.4241 b=9.4241 c=9.4241 alpha=29.48 beta=29.48 gamma=29.48
Closest atoms and distances in Å follow each position.
Fractional positions:
Li1 0.0000 0.0000 0.0000  8 Ag 2.64-2.90
Ac1 0.5000 0.5000 0.5000  8 Ag 3.34-3.63, 6 In 3.70
In1 0.2577 0.2577 0.2577  7 Ag 2.83-3.01
In2 0.7423 0.7423 0.7423  7 Ag 2.83-3.01
Ag1 0.0977 0.0977 0.0977  1 Li 2.64, 3 In 2.83
Ag2 0.3655 0.3655 0.3655  3 Li 2.90, 4 In 2.91-3.01
Ag3 0.6345 0.6345 0.6345  3 Li 2.90, 4 In 2.91-3.01
Ag4 0.9023 0.9023 0.9023  1 Li 2.64, 3 In 2.83